VASP calculation (PBE) on LiTaTe2 after structural relaxation. Values from VASP.

```
&SYSTEM
  ibrav = 0, nat = 8, ntyp = 3
/
ATOMIC_SPECIES
Li 6.94 Li.upf
Ta 180.95 Ta.upf
Te 127.60 Te.upf
CELL_PARAMETERS angstrom
3.731 0.000 0.000
0.000 3.669 0.000
0.000 0.000 13.871
ATOMIC_POSITIONS angstrom
Li 0.000 0.000 0.000
Li 0.000 1.834 6.936
Ta 1.866 0.000 2.733
Ta 1.866 1.834 9.669
Te 0.000 0.000 10.943
Te 0.000 1.834 4.007
Te 1.866 0.000 7.600
Te 1.866 1.834 0.664
```

E_form (uncorrected)   -330.3 meV/atom
Space-group type   Amm2 (38)

VASP calculation (PBE) on ReCl after structural relaxation. Values from VASP.

```
&SYSTEM
  ibrav = 0, nat = 8, ntyp = 2
/
ATOMIC_SPECIES
Re 186.21 Re.upf
Cl 35.45 Cl.upf
CELL_PARAMETERS angstrom
3.043 0.000 0.000
0.000 5.394 0.000
0.000 0.000 9.762
ATOMIC_POSITIONS angstrom
Re 0.000 1.348 0.947
Re 0.000 4.045 8.815
Re 1.521 1.348 8.815
Re 1.521 4.045 0.947
Cl 0.000 1.348 6.740
Cl 0.000 4.045 3.022
Cl 1.521 1.348 3.022
Cl 1.521 4.045 6.740
```

Energy above the lowest structure with this stoichiometry   564 meV per atom
E_form (uncorrected)   453.3 meV/atom
Space-group type   Cmme (67)

VASP calculation (PBE) on CeHoAu2 after structural relaxation. Values from VASP.

```
&SYSTEM
  ibrav = 0, nat = 12, ntyp = 3
/
ATOMIC_SPECIES
Ce 140.12 Ce.upf
Ho 164.93 Ho.upf
Au 196.97 Au.upf
CELL_PARAMETERS angstrom
4.154 0.000 0.000
-2.077 3.597 0.000
0.000 0.000 21.901
ATOMIC_POSITIONS angstrom
Ce 0.000 0.000 0.000
Ce 0.000 2.398 14.601
Ce 2.077 1.199 7.300
Ho 0.000 0.000 10.951
Ho 0.000 2.398 3.650
Ho 2.077 1.199 18.251
Au 0.000 0.000 5.382
Au 0.000 0.000 16.519
Au 0.000 2.398 9.219
Au 0.000 2.398 19.983
Au 2.077 1.199 1.918
Au 2.077 1.199 12.682
```

Space-group type   R-3m (166)
Calculated formation energy   -601 meV per atom

VASP calculation (PBE) on SbAsS2N after structural relaxation. Values from VASP.

```
&SYSTEM
  ibrav = 0, nat = 5, ntyp = 4
/
ATOMIC_SPECIES
Sb 121.76 Sb.upf
As 74.92 As.upf
S 32.06 S.upf
N 14.01 N.upf
CELL_PARAMETERS angstrom
5.092 0.000 0.000
0.000 5.092 0.000
0.000 0.000 3.863
ATOMIC_POSITIONS angstrom
Sb 0.000 0.000 0.000
As 2.546 2.546 1.931
S 0.000 2.546 0.000
S 2.546 0.000 0.000
N 0.000 0.000 1.931
```

Energy above the lowest structure with this stoichiometry   315 meV per atom
E_form (uncorrected)   1011.8 meV/atom
Space-group type   P4/mmm (123)

VASP calculation (PBE) on Na2AsPt2 after structural relaxation. Values from VASP.

```
&SYSTEM
  ibrav = 0, nat = 10, ntyp = 3
/
ATOMIC_SPECIES
Na 22.99 Na.upf
As 74.92 As.upf
Pt 195.08 Pt.upf
CELL_PARAMETERS angstrom
4.694 -2.934 0.000
4.694 2.934 0.000
-1.364 0.000 7.551
ATOMIC_POSITIONS angstrom
Na 1.181 0.701 1.149
Na 0.499 -0.701 4.925
Na 7.525 0.701 2.626
Na 6.843 -0.701 6.402
As 4.353 0.562 1.888
As 3.671 -0.562 5.663
Pt 2.799 0.786 3.791
Pt 4.543 0.786 7.536
Pt 3.481 -0.786 0.015
Pt 5.225 -0.786 3.760
```

Energy above the lowest structure with this stoichiometry   0 meV per atom
Space-group type   C2/c (15)
Calculated formation energy   -486 meV per atom

VASP calculation (PBE) on NdIn5Co after structural relaxation. Values from VASP.

```
&SYSTEM
  ibrav = 0, nat = 7, ntyp = 3
/
ATOMIC_SPECIES
Nd 144.24 Nd.upf
In 114.82 In.upf
Co 58.93 Co.upf
CELL_PARAMETERS angstrom
4.618 0.000 0.000
0.000 4.618 0.000
0.000 0.000 7.620
ATOMIC_POSITIONS angstrom
Nd 0.000 0.000 0.000
In 0.000 2.309 2.361
In 0.000 2.309 5.259
In 2.309 0.000 2.361
In 2.309 0.000 5.259
In 2.309 2.309 0.000
Co 0.000 0.000 3.810
```

Space-group type   P4/mmm (123)
Calculated formation energy   -271 meV per atom

VASP calculation (PBE) on Nd2GaCu3Ni12 after structural relaxation. Values from VASP.

```
&SYSTEM
  ibrav = 0, nat = 18, ntyp = 4
/
ATOMIC_SPECIES
Nd 144.24 Nd.upf
Ga 69.72 Ga.upf
Cu 63.55 Cu.upf
Ni 58.69 Ni.upf
CELL_PARAMETERS angstrom
2.985 1.723 8.643
-2.985 1.723 8.643
0.000 -3.447 8.643
ATOMIC_POSITIONS angstrom
Nd 0.000 0.000 3.913
Nd 0.000 0.000 22.015
Ga 0.000 0.000 12.964
Cu -1.492 -0.862 8.643
Cu -1.492 0.862 17.285
Cu 0.000 1.723 8.643
Ni 0.000 -2.103 7.337
Ni -1.821 1.051 7.337
Ni -1.252 -0.723 11.098
Ni -1.821 -1.051 18.591
Ni 0.000 -1.445 14.830
Ni -1.252 0.723 14.830
Ni 1.252 -0.723 11.098
Ni 0.000 1.445 11.098
Ni 1.821 1.051 7.337
Ni 1.252 0.723 14.830
Ni 1.821 -1.051 18.591
Ni 0.000 2.103 18.591
```

Space-group type   R-3m (166)
Calculated formation energy   179 meV per atom

VASP calculation (PBE) on Ac3TlF after structural relaxation. Values from VASP.

```
&SYSTEM
  ibrav = 0, nat = 5, ntyp = 3
/
ATOMIC_SPECIES
Ac 227.00 Ac.upf
Tl 204.38 Tl.upf
F 19.00 F.upf
CELL_PARAMETERS angstrom
5.450 0.000 0.000
0.000 5.450 0.000
0.000 0.000 5.450
ATOMIC_POSITIONS angstrom
Ac 0.000 0.000 2.725
Ac 0.000 2.725 0.000
Ac 2.725 0.000 0.000
Tl 2.725 2.725 2.725
F 0.000 0.000 0.000
```

E_form (uncorrected)   -984.0 meV/atom
Space-group type   Pm-3m (221)

VASP calculation (PBE) on Cs2TaVC after structural relaxation. Values from VASP.

```
&SYSTEM
  ibrav = 0, nat = 5, ntyp = 4
/
ATOMIC_SPECIES
Cs 132.91 Cs.upf
Ta 180.95 Ta.upf
V 50.94 V.upf
C 12.01 C.upf
CELL_PARAMETERS angstrom
6.538 0.000 0.000
0.000 6.538 0.000
0.000 0.000 4.463
ATOMIC_POSITIONS angstrom
Cs 0.000 3.269 0.000
Cs 3.269 0.000 0.000
Ta 0.000 0.000 2.232
V 0.000 0.000 0.000
C 3.269 3.269 2.232
```

Space-group type   P4/mmm (123)
Calculated formation energy   2514 meV per atom

VASP calculation (PBE) on LiCaMgRu after structural relaxation. Values from VASP.

```
&SYSTEM
  ibrav = 0, nat = 16, ntyp = 4
/
ATOMIC_SPECIES
Li 6.94 Li.upf
Ca 40.08 Ca.upf
Mg 24.30 Mg.upf
Ru 101.07 Ru.upf
CELL_PARAMETERS angstrom
6.753 0.000 0.000
0.000 6.753 0.000
0.000 0.000 6.753
ATOMIC_POSITIONS angstrom
Li 0.000 0.000 0.000
Li 0.000 3.376 3.376
Li 3.376 0.000 3.376
Li 3.376 3.376 0.000
Ca 1.688 1.688 5.065
Ca 1.688 5.065 1.688
Ca 5.065 1.688 1.688
Ca 5.065 5.065 5.065
Mg 1.688 1.688 1.688
Mg 1.688 5.065 5.065
Mg 5.065 1.688 5.065
Mg 5.065 5.065 1.688
Ru 0.000 0.000 3.376
Ru 0.000 3.376 0.000
Ru 3.376 0.000 0.000
Ru 3.376 3.376 3.376
```

Space-group type   F-43m (216)
Calculated formation energy   115 meV per atom

VASP calculation (PBE) on Ta2InO after structural relaxation. Values from VASP.

```
&SYSTEM
  ibrav = 0, nat = 16, ntyp = 3
/
ATOMIC_SPECIES
Ta 180.95 Ta.upf
In 114.82 In.upf
O 16.00 O.upf
CELL_PARAMETERS angstrom
5.284 0.000 0.000
0.000 5.284 0.000
0.000 0.000 11.729
ATOMIC_POSITIONS angstrom
Ta 0.490 1.321 1.466
Ta 1.321 3.132 4.398
Ta 1.321 4.794 10.263
Ta 2.152 1.321 7.331
Ta 3.132 3.963 7.331
Ta 3.963 0.490 10.263
Ta 3.963 2.152 4.398
Ta 4.794 3.963 1.466
In 0.000 0.000 5.865
In 0.000 2.642 8.797
In 2.642 0.000 2.932
In 2.642 2.642 0.000
O 0.000 0.000 0.000
O 0.000 2.642 2.932
O 2.642 0.000 8.797
O 2.642 2.642 5.865
```

Energy above the lowest structure with this stoichiometry   0 meV per atom
E_form (uncorrected)   -72.6 meV/atom
Space-group type   I-42d (122)

VASP calculation (PBE) on V2ZnReSb after structural relaxation. Values from VASP.

```
&SYSTEM
  ibrav = 0, nat = 5, ntyp = 4
/
ATOMIC_SPECIES
V 50.94 V.upf
Zn 65.41 Zn.upf
Re 186.21 Re.upf
Sb 121.76 Sb.upf
CELL_PARAMETERS angstrom
4.550 0.000 0.000
0.000 4.550 0.000
0.000 0.000 4.598
ATOMIC_POSITIONS angstrom
V 0.000 2.275 0.000
V 2.275 0.000 0.000
Zn 0.000 0.000 0.000
Re 0.000 0.000 2.299
Sb 2.275 2.275 2.299
```

E_form (uncorrected)   1260.8 meV/atom
Space-group type   P4/mmm (123)

VASP calculation (PBE) on GaGeTeSe after structural relaxation. Values from VASP.

```
&SYSTEM
  ibrav = 0, nat = 8, ntyp = 4
/
ATOMIC_SPECIES
Ga 69.72 Ga.upf
Ge 72.64 Ge.upf
Te 127.60 Te.upf
Se 78.96 Se.upf
CELL_PARAMETERS angstrom
6.902 0.000 0.000
0.000 4.430 0.000
-0.217 0.000 8.335
ATOMIC_POSITIONS angstrom
Ga 0.000 0.000 0.000
Ga 3.451 2.215 0.000
Ge 0.047 0.000 2.516
Ge 3.498 2.215 2.516
Te 2.157 0.000 7.115
Te 5.608 2.215 7.115
Se 1.045 2.215 3.342
Se 4.495 0.000 3.342
```

E_form (uncorrected)   -160.7 meV/atom
Space-group type   Cm (8)

VASP calculation (PBE) on RbTe2Pb after structural relaxation. Values from VASP.

```
&SYSTEM
  ibrav = 0, nat = 12, ntyp = 3
/
ATOMIC_SPECIES
Rb 85.47 Rb.upf
Te 127.60 Te.upf
Pb 207.20 Pb.upf
CELL_PARAMETERS angstrom
4.570 0.000 0.000
-2.285 3.958 0.000
0.000 0.000 26.526
ATOMIC_POSITIONS angstrom
Rb 0.000 0.000 0.000
Rb 0.000 2.638 17.684
Rb 2.285 1.319 8.842
Te 0.000 0.000 15.081
Te 0.000 0.000 20.294
Te 0.000 2.638 6.239
Te 0.000 2.638 11.452
Te 2.285 1.319 2.610
Te 2.285 1.319 23.923
Pb 0.000 0.000 4.432
Pb 0.000 2.638 22.116
Pb 2.285 1.319 13.274
```

E_form (uncorrected)   -496.5 meV/atom
Space-group type   R3m (160)

VASP calculation (PBE) on RbHfCr2 after structural relaxation. Values from VASP.

```
&SYSTEM
  ibrav = 0, nat = 16, ntyp = 3
/
ATOMIC_SPECIES
Rb 85.47 Rb.upf
Hf 178.49 Hf.upf
Cr 52.00 Cr.upf
CELL_PARAMETERS angstrom
7.200 0.000 0.000
0.000 7.200 0.000
0.000 0.000 7.200
ATOMIC_POSITIONS angstrom
Rb 0.000 0.000 0.000
Rb 0.000 3.600 3.600
Rb 3.600 0.000 3.600
Rb 3.600 3.600 0.000
Hf 0.000 0.000 3.600
Hf 0.000 3.600 0.000
Hf 3.600 0.000 0.000
Hf 3.600 3.600 3.600
Cr 1.800 1.800 1.800
Cr 1.800 1.800 5.400
Cr 1.800 5.400 1.800
Cr 1.800 5.400 5.400
Cr 5.400 1.800 1.800
Cr 5.400 1.800 5.400
Cr 5.400 5.400 1.800
Cr 5.400 5.400 5.400
```

Energy above the lowest structure with this stoichiometry   0 meV per atom
Space-group type   Fm-3m (225)
Calculated formation energy   1503 meV per atom

VASP calculation (PBE) on NiRuS after structural relaxation. Values from VASP.

```
&SYSTEM
  ibrav = 0, nat = 6, ntyp = 3
/
ATOMIC_SPECIES
Ni 58.69 Ni.upf
Ru 101.07 Ru.upf
S 32.06 S.upf
CELL_PARAMETERS angstrom
3.596 0.000 0.000
0.074 4.257 0.000
0.202 0.604 5.485
ATOMIC_POSITIONS angstrom
Ni 0.000 0.000 0.000
Ni 0.604 2.046 1.442
Ru 0.631 4.170 2.944
Ru 2.374 2.030 3.539
S 0.583 2.753 4.766
S 2.355 0.588 1.737
```

Energy above the lowest structure with this stoichiometry   62 meV per atom
E_form (uncorrected)   -86.0 meV/atom
Space-group type   P1 (1)

VASP calculation (PBE) on Sc2TaB after structural relaxation. Values from VASP.

```
&SYSTEM
  ibrav = 0, nat = 12, ntyp = 3
/
ATOMIC_SPECIES
Sc 44.96 Sc.upf
Ta 180.95 Ta.upf
B 10.81 B.upf
CELL_PARAMETERS angstrom
3.068 0.000 0.000
-1.534 2.657 0.000
0.000 0.000 26.980
ATOMIC_POSITIONS angstrom
Sc 0.000 0.000 2.912
Sc 0.000 0.000 24.068
Sc 0.000 1.772 15.075
Sc 0.000 1.772 20.898
Sc 1.534 0.886 6.082
Sc 1.534 0.886 11.905
Ta 0.000 0.000 0.000
Ta 0.000 1.772 17.987
Ta 1.534 0.886 8.993
B 0.000 0.000 13.490
B 0.000 1.772 4.497
B 1.534 0.886 22.483
```

Space-group type   R-3m (166)
Calculated formation energy   410 meV per atom